(1)
VASP calculation (GGA-PBE) on a relaxed Ac3Sn4Ge4 crystal.

a = 9.275 Å, b = 9.275 Å, c = 9.275 Å
α = 150.89°, β = 126.09°, γ = 62.43°
Element x y z (fractional)
Ac1 0.000 0.000 0.000
Ac2 0.372 0.872 0.500
Ac3 0.628 0.128 0.500
Sn1 0.025 0.341 0.684
Sn2 0.342 0.659 0.684
Sn3 0.658 0.341 0.316
Sn4 0.975 0.659 0.316
Ge1 0.213 0.213 0.000
Ge2 0.327 0.500 0.827
Ge3 0.673 0.500 0.173
Ge4 0.787 0.787 0.000

Computed properties:
The formation energy comes out at -0.427 eV/atom. Its final energy is -0.3441 Ry per atom. The value obtained for the total moment is 0.0 μB per cell.


(2)
VASP calculation (GGA-PBE) on a relaxed CaSiCl4 crystal.

a = 5.940 Å, b = 5.940 Å, c = 5.940 Å
α = 60.00°, β = 60.00°, γ = 60.00°
Element x y z (fractional)
Ca1 0.000 0.000 0.000
Si1 0.250 0.250 0.250
Cl1 0.125 0.625 0.625
Cl2 0.625 0.125 0.625
Cl3 0.625 0.625 0.125
Cl4 0.625 0.625 0.625

Computed properties:
The value obtained for the uncorrected formation energy is 0.79 kcal/mol of atoms. Its final energy is -0.1789 Ry per atom. The value obtained for the total moment is 1.8 μB per cell.